RbAg4TeS2 (PBE-GGA, optimized geometry); density = 5945 kg/m³; Fermi-level density of states = 2.9 states/eV/f.u.; VASP energy = -26.1 eV for the cell shown; calculated volume = 198.0 Å³/f.u.
1.0
4.280 0.000 0.000
0.000 4.280 0.000
0.000 0.000 10.805
Rb Ag Te S
1 4 1 2
direct
0.000 0.000 0.500 Rb
0.000 0.500 0.190 Ag
0.500 0.000 0.810 Ag
0.500 0.000 0.190 Ag
0.000 0.500 0.810 Ag
0.000 0.000 0.000 Te
0.500 0.500 0.322 S
0.500 0.500 0.678 S